A geometry-optimized InWNO2 structure. Source: the Alexandria database, functional PBE+U.

Geometry as POSCAR:
```
InWNO2
1.0
-3.2583 0.3191 -2.2278
-1.1849 -3.5759 1.2207
-2.0519 1.7919 3.2576
W O In N
1 2 1 1
Cartesian
0.0000 0.0000 0.0000
-1.6291 0.1596 -1.1139
-0.5924 -1.7880 0.6103
-3.2475 -0.7325 1.1252
-1.0259 0.8959 1.6288
```

**DFT total energy**: -6.45 eV/atom
**Crystal system**: tetragonal
**Total magnetization**: 0.7 μB per cell